No. 1
Sc3TcHg | PBE | relaxed

The structure in POSCAR format:
```
Sc3TcHg
1.0
4.7535 0.0000 0.0000
0.0000 4.7798 0.0000
-2.3755 0.0000 9.0497
Sc Tc Hg
6 2 2
Direct
0.0657 0.2500 0.1314
0.2494 0.2500 0.4990
0.4299 0.2500 0.8610
0.5701 0.7500 0.1390
0.7506 0.7500 0.5010
0.9343 0.7500 0.8686
0.1514 0.7500 0.3018
0.8486 0.2500 0.6982
0.3421 0.7500 0.6838
0.6579 0.2500 0.3162
```

The value obtained for the raw total energy is -6.15 eV/atom. The calculation puts the formation energy at -21 kJ per mole of atoms. As for the excess energy over the best structure of this formula in the dataset: 0.000 eV/atom.

***

No. 2
CePm4Th3N8 | PBE | relaxed

The structure in POSCAR format:
```
CePm4Th3N8
1.0
3.6353 2.0989 5.9147
-3.6353 2.0989 5.9147
0.0000 -4.1977 5.9147
Ce Pm Th N
1 4 3 8
Direct
0.0000 0.0000 0.0000
0.0000 0.0000 0.5000
0.0000 0.5000 0.0000
0.5000 0.0000 0.0000
0.5000 0.5000 0.5000
0.0000 0.5000 0.5000
0.5000 0.0000 0.5000
0.5000 0.5000 0.0000
0.2465 0.2465 0.7460
0.2465 0.7460 0.2465
0.2536 0.2536 0.2536
0.2540 0.7535 0.7535
0.7460 0.2465 0.2465
0.7464 0.7464 0.7464
0.7535 0.2540 0.7535
0.7535 0.7535 0.2540
```

The value obtained for the raw total energy is -8.65 eV/atom. The calculation puts the uncorrected formation energy at -1536 meV/atom.

***

No. 3
LiCrSiW | PBE | relaxed

The structure in POSCAR format:
```
LiCrSiW
1.0
5.8702 0.0000 0.0000
0.0000 5.8702 0.0000
0.0000 0.0000 5.8702
Li Cr Si W
4 4 4 4
Direct
0.0000 0.0000 0.0000
0.0000 0.5000 0.5000
0.5000 0.0000 0.5000
0.5000 0.5000 0.0000
0.0000 0.0000 0.5000
0.0000 0.5000 0.0000
0.5000 0.0000 0.0000
0.5000 0.5000 0.5000
0.2500 0.2500 0.7500
0.2500 0.7500 0.2500
0.7500 0.2500 0.2500
0.7500 0.7500 0.7500
0.2500 0.2500 0.2500
0.2500 0.7500 0.7500
0.7500 0.2500 0.7500
0.7500 0.7500 0.2500
```

The value obtained for the raw total energy is -7.49 eV/atom. The calculation puts the uncorrected formation energy at -14 meV/atom.

***

No. 4
VP3Rh | PBE | relaxed

The structure in POSCAR format:
```
VP3Rh
1.0
4.4379 0.0000 0.0000
0.0000 4.4379 0.0000
0.0000 0.0000 4.4379
V P Rh
1 3 1
Direct
0.0000 0.0000 0.0000
0.0000 0.0000 0.5000
0.0000 0.5000 0.0000
0.5000 0.0000 0.0000
0.5000 0.5000 0.5000
```

The value obtained for the raw total energy is -6.01 eV/atom. The calculation puts the formation energy at 51 kJ per mole of atoms. As for the excess energy over the best structure of this formula in the dataset: 0.000 eV/atom.

***

No. 5
Ta2MnAl | PBE | relaxed

The structure in POSCAR format:
```
Ta2MnAl
1.0
3.7635 0.0000 0.0000
0.0000 4.2118 0.0000
0.0000 0.0000 8.0815
Ta Mn Al
4 2 2
Direct
0.0000 0.0000 0.0000
0.0000 0.5000 0.2918
0.5000 0.0000 0.2918
0.5000 0.5000 0.0000
0.0000 0.5000 0.7598
0.5000 0.0000 0.7598
0.0000 0.0000 0.5506
0.5000 0.5000 0.5506
```

The value obtained for the raw total energy is -9.20 eV/atom. The calculation puts the formation energy at -5 kJ per mole of atoms.

***

No. 6
Li2PmZrTe4 | PBE | relaxed

The structure in POSCAR format:
```
Li2PmZrTe4
1.0
7.3634 0.0000 0.0000
0.0000 4.2070 0.0000
-2.4028 0.0000 7.1295
Li Pm Zr Te
2 1 1 4
Direct
0.0000 0.0000 0.0000
0.5000 0.5000 0.0000
0.0000 0.5000 0.5000
0.5000 0.0000 0.5000
0.2644 0.5000 0.2479
0.2693 0.0000 0.7615
0.7307 0.0000 0.2385
0.7356 0.5000 0.7521
```

The value obtained for the raw total energy is -4.79 eV/atom. The calculation puts the uncorrected formation energy at -1079 meV/atom.

***

What did we get for total magnetic moment? Answer: 0.000; 0.029; 0.213; 0.000; 0.584; 0.000 μB per atom, in the order shown.
What did we get for density of states at the Fermi level? Answer: 4.79; 6.03; 1.93; 2.40; 3.76; 3.00 states/eV/f.u., in the order shown.